1.
Ca3NbRu | Alexandria | PBE-GGA | relaxed; relative energy among the computed polymorphs = 723 meV per atom; formation energy = 8.04 eV per formula unit; M_tot = 3.23 Bohr magnetons per cell
1.0
5.4091 0.0000 0.0000
0.0000 5.4091 0.0000
0.0000 0.0000 5.4091
Ca Nb Ru
3 1 1
Direct
0.0000 0.0000 0.5000
0.0000 0.5000 0.0000
0.5000 0.0000 0.0000
0.0000 0.0000 0.0000
0.5000 0.5000 0.5000

=====

2.
CaNbRu3 | Alexandria | PBE-GGA | relaxed; formation energy = 10.23 eV per formula unit; M_tot = 0.00 Bohr magnetons per cell
1.0
4.5499 0.0000 0.0000
0.0000 4.5499 0.0000
0.0000 0.0000 4.5499
Ca Nb Ru
1 1 3
Direct
0.0000 0.0000 0.0000
0.5000 0.5000 0.5000
0.0000 0.0000 0.5000
0.0000 0.5000 0.0000
0.5000 0.0000 0.0000

=====

3.
CaNbRu | Alexandria | PBE-GGA | relaxed; formation energy = -0.27 eV per formula unit; M_tot = 0.00 Bohr magnetons per cell
1.0
4.4631 0.0000 0.0000
0.0000 4.4631 0.0000
0.0000 0.0000 7.0420
Ca Nb Ru
2 2 2
Direct
0.2500 0.2500 0.1450
0.7500 0.7500 0.8550
0.2500 0.7500 0.5000
0.7500 0.2500 0.5000
0.2500 0.2500 0.6814
0.7500 0.7500 0.3186

=====

4.
CaNb2S4 | Alexandria | PBE-GGA | relaxed; formation energy without anion corrections = -1.259 eV/atom; M_tot = 0.00 Bohr magnetons per cell
1.0
5.9097 0.0000 0.0000
0.0000 3.5303 0.0000
-2.0478 0.0000 6.8349
Ca Nb S
1 2 4
Direct
0.0000 0.0000 0.0000
0.0000 0.5000 0.5000
0.5000 0.0000 0.5000
0.2446 0.0000 0.7246
0.2646 0.5000 0.2722
0.7354 0.5000 0.7278
0.7554 0.0000 0.2754

=====

5.
CaNbS2 | Alexandria | PBE-GGA | relaxed; relative energy among the computed polymorphs = 78 meV per atom; formation energy without anion corrections = -0.865 eV/atom; M_tot = 0.00 Bohr magnetons per cell
1.0
1.7548 1.0131 8.5526
-1.7548 1.0131 8.5526
0.0000 -2.0263 8.5526
Ca Nb S
1 1 2
Direct
0.0000 0.0000 0.0000
0.5000 0.5000 0.5000
0.1074 0.1074 0.1074
0.8926 0.8926 0.8926

=====

6.
CaNb3S | Alexandria | PBE-GGA | relaxed; relative energy among the computed polymorphs = 0 meV per atom; formation energy without anion corrections = 0.119 eV/atom; M_tot = 0.00 Bohr magnetons per cell
1.0
4.7221 0.0000 0.0000
0.0000 4.7221 0.0000
0.0000 0.0000 4.7221
Ca Nb S
1 3 1
Direct
0.0000 0.0000 0.0000
0.0000 0.5000 0.5000
0.5000 0.0000 0.5000
0.5000 0.5000 0.0000
0.5000 0.5000 0.5000

=====

7.
CaNbS2 | Alexandria | PBE-GGA | relaxed; relative energy among the computed polymorphs = 290 meV per atom; formation energy without anion corrections = -0.653 eV/atom; M_tot = 0.19 Bohr magnetons per cell
1.0
1.8854 1.0886 8.0063
-1.8854 1.0886 8.0063
0.0000 -2.1771 8.0063
Ca Nb S
1 1 2
Direct
0.0000 0.0000 0.0000
0.5000 0.5000 0.5000
0.4028 0.4028 0.4028
0.5972 0.5972 0.5972

=====

8.
CaNbS2 | Alexandria | PBE-GGA | relaxed; relative energy among the computed polymorphs = 27 meV per atom; formation energy without anion corrections = -0.916 eV/atom; M_tot = 1.00 Bohr magnetons per cell
1.0
0.0000 3.2620 3.2620
3.2620 0.0000 3.2620
3.2620 3.2620 0.0000
Ca Nb S
1 1 2
Direct
0.0000 0.0000 0.0000
0.5000 0.5000 0.5000
0.2500 0.2500 0.2500
0.7500 0.7500 0.7500

=====

9.
CaNb3S | Alexandria | PBE-GGA | relaxed; relative energy among the computed polymorphs = 2271 meV per atom; formation energy without anion corrections = 2.390 eV/atom; M_tot = 0.00 Bohr magnetons per cell
1.0
4.8043 0.0000 0.0000
0.0000 4.8043 0.0000
0.0000 0.0000 4.8043
Ca Nb S
1 3 1
Direct
0.0000 0.0000 0.0000
0.0000 0.0000 0.5000
0.0000 0.5000 0.0000
0.5000 0.0000 0.0000
0.5000 0.5000 0.5000

=====

10.
CaNbS2 | Alexandria | PBE-GGA | relaxed; relative energy among the computed polymorphs = 0 meV per atom; formation energy without anion corrections = -0.943 eV/atom; M_tot = 2.94 Bohr magnetons per cell
1.0
-2.9122 2.9122 6.1125
2.9122 -2.9122 6.1125
2.9122 2.9122 -6.1125
Ca Nb S
2 2 4
Direct
0.0000 0.0000 0.0000
0.7500 0.2500 0.5000
0.2500 0.7500 0.5000
0.5000 0.5000 0.0000
0.1711 0.6250 0.0461
0.3750 0.4211 0.5461
0.5789 0.1250 0.9539
0.8750 0.8289 0.4539

=====

11.
CaNb2TeS | Alexandria | PBE-GGA | relaxed; formation energy without anion corrections = 1.987 eV/atom; M_tot = 3.69 Bohr magnetons per cell
1.0
5.2484 0.0000 0.0000
0.0000 5.2484 0.0000
0.0000 0.0000 5.2408
Ca Nb Te S
1 2 1 1
Direct
0.0000 0.0000 0.0000
0.0000 0.5000 0.0000
0.5000 0.0000 0.0000
0.0000 0.0000 0.5000
0.5000 0.5000 0.5000

=====

12.
CaNbTlS2 | Alexandria | PBE-GGA | relaxed; formation energy without anion corrections = 1.086 eV/atom; M_tot = 4.15 Bohr magnetons per cell
1.0
5.2862 0.0000 0.0000
0.0000 5.2862 0.0000
0.0000 0.0000 5.5005
Ca Nb Tl S
1 1 1 2
Direct
0.0000 0.0000 0.0000
0.5000 0.5000 0.0000
0.0000 0.0000 0.5000
0.0000 0.5000 0.5000
0.5000 0.0000 0.5000